No. 1
A relaxed BeIr3Pt crystal. Source: Alexandria, functional PBE-GGA.

Values from the calculation:
Total moment, Bohr magnetons per cell: 0.000
E above lowest polymorph, meV/atom: 0.0
ΔH_f (0 K), kJ per mole of atoms: 45.2

Unit cell a=4.134 b=4.134 c=4.134 alpha=90.00 beta=90.00 gamma=90.00
Atoms (fractional coordinates):
Ir  0.000  0.000  0.500
Ir  0.000  0.500  0.000
Pt  0.500  0.500  0.500
Ir  0.500  0.000  0.000
Be  0.000  0.000  0.000

=====

No. 2
A relaxed NaHo2NpSe4 crystal. Source: Alexandria, functional PBE-GGA.

Values from the calculation:
Formation energy from raw total energies, meV/atom: -1520.7
Total moment, Bohr magnetons per cell: 4.635

Unit cell a=4.077 b=7.148 c=7.129 alpha=70.81 beta=90.00 gamma=90.00
Site moments in Bohr magnetons follow the coordinates.
Atoms (fractional coordinates):
Se  0.500  0.755  0.248  -0.03
Se  0.500  0.245  0.752  -0.03
Ho  0.500  0.000  0.500  0.10
Ho  0.000  0.000  0.000  0.03
Se  0.000  0.241  0.253  -0.01
Np  0.000  0.500  0.500  4.15
Se  0.000  0.759  0.747  -0.01
Na  0.500  0.500  0.000  0.00

=====

No. 3
A relaxed Tl7Bi3Pb crystal. Source: Alexandria, functional PBE-GGA.

Values from the calculation:
Total moment, Bohr magnetons per cell: 0.000
ΔH_f (0 K), kJ per mole of atoms: 3.0

Unit cell a=8.501 b=7.066 c=7.066 alpha=120.00 beta=90.00 gamma=90.00
Atoms (fractional coordinates):
Tl  0.104  0.164  0.836
Tl  0.457  0.838  0.162
Tl  0.120  0.667  0.333
Bi  0.782  0.989  0.494
Bi  0.782  0.506  0.494
Tl  0.104  0.164  0.328
Tl  0.457  0.323  0.162
Tl  0.457  0.838  0.677
Bi  0.782  0.506  0.011
Tl  0.104  0.672  0.836
Pb  0.468  0.333  0.667